Here is an optimized crystal structure of LuCuHgSe3 from the Open Quantum Materials Database. Energies are from GGA-PBE.

It has space group Cmcm (No. 63), with a = 3.894 Å, b = 13.365 Å, c = 10.594 Å, α = 90.00°, β = 90.00° and γ = 90.00°. Symmetry generates all atoms from Lu at (0.000, 0.000, 0.000), Cu at (0.000, 0.472, 0.250), Hg at (0.000, 0.242, 0.750), Se at (0.000, 0.090, 0.250) and Se at (0.000, 0.361, 0.069).

The value obtained for the electronic total energy is -3.898 eV per atom. The calculation puts the spin magnetization at 0.02 μB/cell.

Here is an optimized crystal structure of LuTlCuHg from the Open Quantum Materials Database. Energies are from GGA-PBE.

It has space group F-43m (No. 216), with a = 6.988 Å, b = 6.988 Å, c = 6.988 Å, α = 90.00°, β = 90.00° and γ = 90.00°. Symmetry generates all atoms from Lu at (0.000, 0.000, 0.000), Tl at (0.250, 0.250, 0.250), Cu at (0.000, 0.000, 0.500) and Hg at (0.250, 0.250, 0.750).

The value obtained for the electronic total energy is -2.814 eV per atom. For the offset from the most stable computed form, the calculation gives 0.0 meV per atom. The calculation puts the spin magnetization at 0.01 μB/cell.

Here is an optimized crystal structure of LuTlCuHg from the Open Quantum Materials Database. Energies are from GGA-PBE.

It has space group F-43m (No. 216), with a = 7.002 Å, b = 7.002 Å, c = 7.002 Å, α = 90.00°, β = 90.00° and γ = 90.00°. Symmetry generates all atoms from Lu at (0.000, 0.000, 0.000), Tl at (0.000, 0.000, 0.500), Cu at (0.250, 0.250, 0.750) and Hg at (0.250, 0.250, 0.250).

The value obtained for the electronic total energy is -2.812 eV per atom. For the offset from the most stable computed form, the calculation gives 2.5 meV per atom. The calculation puts the spin magnetization at 0.00 μB/cell.

Here is an optimized crystal structure of PrNd2Mg3CuHg2 from the Open Quantum Materials Database. Energies are from GGA-PBE.

It has space group Amm2 (No. 38), with a = 4.282 Å, b = 13.668 Å, c = 7.898 Å, α = 90.00°, β = 90.00° and γ = 90.00°. Symmetry generates all atoms from Pr at (0.000, 0.000, 0.000), Nd at (0.000, 0.201, 0.397), Mg at (0.500, 0.000, 0.365), Mg at (0.500, 0.117, 0.714), Cu at (0.000, 0.000, 0.597) and Hg at (0.500, 0.168, 0.099).

The value obtained for the electronic total energy is -2.904 eV per atom. The calculation puts the spin magnetization at 0.26 μB/cell.

Here is an optimized crystal structure of NdTm2Mg3CuHg2 from the Open Quantum Materials Database. Energies are from GGA-PBE.

It has space group Amm2 (No. 38), with a = 4.167 Å, b = 13.458 Å, c = 7.655 Å, α = 90.00°, β = 90.00° and γ = 90.00°. Symmetry generates all atoms from Nd at (0.000, 0.000, 0.000), Tm at (0.000, 0.201, 0.606), Mg at (0.500, 0.000, 0.641), Mg at (0.500, 0.119, 0.289), Cu at (0.000, 0.000, 0.413) and Hg at (0.500, 0.172, 0.903).

The value obtained for the electronic total energy is -2.842 eV per atom. The calculation puts the spin magnetization at 0.07 μB/cell.

Here is an optimized crystal structure of Pr2YMg3CuHg2 from the Open Quantum Materials Database. Energies are from GGA-PBE.

It has space group Amm2 (No. 38), with a = 4.246 Å, b = 13.606 Å, c = 7.868 Å, α = 90.00°, β = 90.00° and γ = 90.00°. Symmetry generates all atoms from Pr at (0.000, 0.201, 0.000), Y at (0.000, 0.000, 0.602), Mg at (0.500, 0.000, 0.966), Mg at (0.500, 0.116, 0.320), Cu at (0.000, 0.000, 0.206) and Hg at (0.500, 0.162, 0.699).

The value obtained for the electronic total energy is -3.103 eV per atom. The calculation puts the spin magnetization at 0.04 μB/cell.

Here is an optimized crystal structure of PrY2Mg3CuHg2 from the Open Quantum Materials Database. Energies are from GGA-PBE.

It has space group Amm2 (No. 38), with a = 4.189 Å, b = 13.516 Å, c = 7.739 Å, α = 90.00°, β = 90.00° and γ = 90.00°. Symmetry generates all atoms from Pr at (0.000, 0.000, 0.000), Y at (0.000, 0.200, 0.603), Mg at (0.500, 0.000, 0.636), Mg at (0.500, 0.118, 0.287), Cu at (0.000, 0.000, 0.408) and Hg at (0.500, 0.171, 0.901).

The value obtained for the electronic total energy is -3.304 eV per atom. The calculation puts the spin magnetization at 0.27 μB/cell.

Here is an optimized crystal structure of MgCuHgSb from the Open Quantum Materials Database. Energies are from GGA-PBE.

It has space group F-43m (No. 216), with a = 6.920 Å, b = 6.920 Å, c = 6.920 Å, α = 90.00°, β = 90.00° and γ = 90.00°. Symmetry generates all atoms from Mg at (0.000, 0.000, 0.000), Cu at (0.000, 0.000, 0.500), Hg at (0.250, 0.250, 0.750) and Sb at (0.250, 0.250, 0.250).

The value obtained for the electronic total energy is -2.373 eV per atom. For the offset from the most stable computed form, the calculation gives 0.0 meV per atom.

Here is an optimized crystal structure of MgCuSiHg from the Open Quantum Materials Database. Energies are from GGA-PBE.

It has space group F-43m (No. 216), with a = 6.518 Å, b = 6.518 Å, c = 6.518 Å, α = 90.00°, β = 90.00° and γ = 90.00°. Symmetry generates all atoms from Mg at (0.000, 0.000, 0.000), Cu at (0.000, 0.000, 0.500), Si at (0.250, 0.250, 0.250) and Hg at (0.250, 0.250, 0.750).

The value obtained for the electronic total energy is -2.548 eV per atom. For the offset from the most stable computed form, the calculation gives 0.0 meV per atom.

Here is an optimized crystal structure of MgTlCuHg from the Open Quantum Materials Database. Energies are from GGA-PBE.

It has space group F-43m (No. 216), with a = 6.984 Å, b = 6.984 Å, c = 6.984 Å, α = 90.00°, β = 90.00° and γ = 90.00°. Symmetry generates all atoms from Mg at (0.000, 0.000, 0.000), Tl at (0.000, 0.000, 0.500), Cu at (0.250, 0.250, 0.750) and Hg at (0.250, 0.250, 0.250).

The value obtained for the electronic total energy is -1.835 eV per atom. For the offset from the most stable computed form, the calculation gives 43.9 meV per atom.

Here is an optimized crystal structure of MgTlCuHg from the Open Quantum Materials Database. Energies are from GGA-PBE.

It has space group F-43m (No. 216), with a = 6.890 Å, b = 6.890 Å, c = 6.890 Å, α = 90.00°, β = 90.00° and γ = 90.00°. Symmetry generates all atoms from Mg at (0.000, 0.000, 0.000), Tl at (0.250, 0.250, 0.250), Cu at (0.000, 0.000, 0.500) and Hg at (0.250, 0.250, 0.750).

The value obtained for the electronic total energy is -1.879 eV per atom. For the offset from the most stable computed form, the calculation gives 0.0 meV per atom.

Here is an optimized crystal structure of YTm2Mg3CuHg2 from the Open Quantum Materials Database. Energies are from GGA-PBE.

It has space group Amm2 (No. 38), with a = 4.102 Å, b = 13.277 Å, c = 7.624 Å, α = 90.00°, β = 90.00° and γ = 90.00°. Symmetry generates all atoms from Y at (0.000, 0.000, 0.000), Tm at (0.000, 0.201, 0.395), Mg at (0.500, 0.000, 0.358), Mg at (0.500, 0.119, 0.715), Cu at (0.000, 0.000, 0.593) and Hg at (0.500, 0.169, 0.097).

The value obtained for the electronic total energy is -3.048 eV per atom. The calculation puts the spin magnetization at 0.05 μB/cell.

Question: The highest electronic total energy belongs to which entry?
Answer: number 10